A relaxed structure of PuGaPd, computed with GGA-PBE.

Output
E_tot ... -7.9961 eV/atom
Formation energy ... -11.04 kcal/mol of atoms

Unit cell a=3.1970 b=3.1970 c=6.1111 alpha=105.16 beta=105.16 gamma=90.00
Fractional positions:
Pd  0.2580  0.2580  0.5160
Ga  0.6426  0.6426  0.2851
Pu  0.9494  0.9494  0.8989

A relaxed structure of YLuMnRu, computed with GGA-PBE.

Output
E_tot ... -7.4680 eV/atom
Formation energy ... -2.55 kcal/mol of atoms

Unit cell a=4.8667 b=4.8667 c=4.8667 alpha=60.00 beta=60.00 gamma=60.00
Fractional positions:
Y  0.2500  0.2500  0.2500
Ru  0.5000  0.5000  0.5000
Lu  0.7500  0.7500  0.7500
Mn  0.0000  0.0000  0.0000

A relaxed structure of InRhS2, computed with GGA-PBE.

Output
E_tot ... -4.8356 eV/atom
Formation energy without anion corrections ... -0.2494 eV/atom

Unit cell a=5.7228 b=5.7228 c=6.9115 alpha=65.54 beta=65.54 gamma=90.00
Fractional positions:
S  0.5738  0.1250  0.2500
S  0.1762  0.6250  0.2500
S  0.3750  0.4262  0.7500
S  0.8750  0.8238  0.7500
Rh  0.5000  0.5000  0.0000
Rh  0.2500  0.7500  0.5000
In  0.0000  0.0000  0.0000
In  0.7500  0.2500  0.5000